Entry 1:
# BaCu2PtS

Crystalline BaCu2PtS at its relaxed geometry (PBE, Alexandria via LeMat-Bulk).

Summary:
M_tot (Bohr magnetons per cell): 0.000
Formation energy from raw total energies (kJ/mol of atoms): -6.6
VASP energy (eV per atom): -4.125

Cell lengths 4.5002, 4.5002, 5.3138 Å; angles 90.00, 90.00, 90.00 degrees
Fractional coordinates of all 5 atoms:
Ba (0.0000, 0.0000, 0.0000)
Cu (0.0000, 0.5000, 0.5000)
Cu (0.5000, 0.0000, 0.5000)
Pt (0.5000, 0.5000, 0.0000)
S (0.5000, 0.5000, 0.5000)

Entry 2:
# CsPtICl2

Crystalline CsPtICl2 at its relaxed geometry (PBE, Alexandria via LeMat-Bulk).

Summary:
M_tot (Bohr magnetons per cell): 0.000
Formation energy from raw total energies (kJ/mol of atoms): -75.8
VASP energy (eV per atom): -3.213

Cell lengths 5.1786, 5.1786, 5.5299 Å; angles 90.00, 90.00, 90.00 degrees
Fractional coordinates of all 5 atoms:
Cs (0.0000, 0.0000, 0.0000)
Pt (0.5000, 0.5000, 0.5000)
I (0.5000, 0.5000, 0.0000)
Cl (0.0000, 0.5000, 0.5000)
Cl (0.5000, 0.0000, 0.5000)

Entry 3:
# Li4CuPd

Crystalline Li4CuPd at its relaxed geometry (PBE, Alexandria via LeMat-Bulk).

Summary:
Formation energy from the elements (kJ/mol of formula units): -95
M_tot (Bohr magnetons per cell): 0.000
Energy relative to the lowest polymorph listed for this composition (meV per atom): 46
VASP energy (eV per atom): -2.988

Cell lengths 6.2355, 6.2355, 5.1640 Å; angles 90.06, 90.06, 90.00 degrees
Fractional coordinates of all 12 atoms:
Li (0.1683, 0.3275, 0.4993)
Li (0.1683, 0.6725, 0.9986)
Li (0.3275, 0.1683, 0.9993)
Li (0.3275, 0.8317, 0.5014)
Li (0.6725, 0.1683, 0.4986)
Li (0.6725, 0.8317, 0.0007)
Li (0.8317, 0.3275, 0.0014)
Li (0.8317, 0.6725, 0.5007)
Cu (0.4996, 0.5004, 0.2500)
Cu (0.5004, 0.4996, 0.7500)
Pd (0.0014, 0.9986, 0.2500)
Pd (0.9986, 0.0014, 0.7500)

Entry 4:
# KBe2Ru2

Crystalline KBe2Ru2 at its relaxed geometry (PBE, Alexandria via LeMat-Bulk).

Summary:
Formation energy from the elements (kJ/mol of formula units): 239
M_tot (Bohr magnetons per cell): 0.001
Energy relative to the lowest polymorph listed for this composition (meV per atom): 0
VASP energy (eV per atom): -4.926

Cell lengths 7.6363, 7.6363, 2.5428 Å; angles 90.00, 90.00, 90.00 degrees
Fractional coordinates of all 10 atoms:
K (0.0000, 0.0000, 0.0000)
K (0.5000, 0.5000, 0.0000)
Be (0.1523, 0.3477, 0.5000)
Be (0.3477, 0.8477, 0.5000)
Be (0.6523, 0.1523, 0.5000)
Be (0.8477, 0.6523, 0.5000)
Ru (0.1256, 0.6256, 0.0000)
Ru (0.3744, 0.1256, 0.0000)
Ru (0.6256, 0.8744, 0.0000)
Ru (0.8744, 0.3744, 0.0000)

Entry 5:
# Ac3PdPt

Crystalline Ac3PdPt at its relaxed geometry (PBE, Alexandria via LeMat-Bulk).

Summary:
Formation energy from the elements (kJ/mol of formula units): -378
M_tot (Bohr magnetons per cell): 0.000
Energy relative to the lowest polymorph listed for this composition (meV per atom): 0
VASP energy (eV per atom): -5.495

Cell lengths 8.2446, 8.2446, 10.3730 Å; angles 104.78, 104.78, 31.62 degrees
Fractional coordinates of all 10 atoms:
Ac (0.0319, 0.0319, 0.3029)
Ac (0.3083, 0.3083, 0.3688)
Ac (0.3585, 0.3585, 0.9908)
Ac (0.6415, 0.6415, 0.0092)
Ac (0.6917, 0.6917, 0.6312)
Ac (0.9681, 0.9681, 0.6971)
Pd (0.3334, 0.3334, 0.6805)
Pd (0.6666, 0.6666, 0.3195)
Pt (0.1657, 0.1657, 0.8219)
Pt (0.8343, 0.8343, 0.1781)

Among the records above, which one has the highest VASP energy?
Li4CuPd

Please write out number 5 again, unchanged.
# Ac3PdPt

Crystalline Ac3PdPt at its relaxed geometry (PBE, Alexandria via LeMat-Bulk).

Summary:
Formation energy from the elements (kJ/mol of formula units): -378
M_tot (Bohr magnetons per cell): 0.000
Energy relative to the lowest polymorph listed for this composition (meV per atom): 0
VASP energy (eV per atom): -5.495

Cell lengths 8.2446, 8.2446, 10.3730 Å; angles 104.78, 104.78, 31.62 degrees
Fractional coordinates of all 10 atoms:
Ac (0.0319, 0.0319, 0.3029)
Ac (0.3083, 0.3083, 0.3688)
Ac (0.3585, 0.3585, 0.9908)
Ac (0.6415, 0.6415, 0.0092)
Ac (0.6917, 0.6917, 0.6312)
Ac (0.9681, 0.9681, 0.6971)
Pd (0.3334, 0.3334, 0.6805)
Pd (0.6666, 0.6666, 0.3195)
Pt (0.1657, 0.1657, 0.8219)
Pt (0.8343, 0.8343, 0.1781)